VASP calculation (GGA+U) on crystalline Mg6VBiO8 at its relaxed geometry.

The crystal system is tetragonal. The calculation puts the magnetization at 3.4 μB per formula unit. Its energy above the most stable polymorph in this dataset is 0.015 eV/atom.

The structure belongs to space group P4/mmm (No. 123); the cell edges are 4.4823, 4.4823 and 9.1738 Å and the angles 90.00°, 90.00° and 90.00°. The asymmetric unit holds Mg at (0.0000, 0.0000, 0.0000), Mg at (0.0000, 0.0000, 0.5000), Mg at (0.0000, 0.5000, 0.2321), V at (0.5000, 0.5000, 0.0000), Bi at (0.5000, 0.5000, 0.5000), O at (0.0000, 0.0000, 0.2489), O at (0.0000, 0.5000, 0.0000), O at (0.0000, 0.5000, 0.5000) and O at (0.5000, 0.5000, 0.2294).